# TbDyTh | OQMD via LeMat-Bulk | PBE-GGA | relaxed
# DFT total energy	-14.23	eV/f.u.
# calculated density	8.209	g/cm3
# total magnetic moment	0.0	μB per formula unit
data_TbDyTh
_chemical_formula_sum 'Tb1 Dy1 Th1'
_cell_length_a 5.410
_cell_length_b 5.410
_cell_length_c 5.410
_cell_angle_alpha 60.00
_cell_angle_beta 60.00
_cell_angle_gamma 60.00
_symmetry_space_group_name_H-M 'P 1'
_symmetry_Int_Tables_number 1
_symmetry_space_group_name_Hall 'P 1'
loop_
_atom_site_label
_atom_site_type_symbol
_atom_site_fract_x
_atom_site_fract_y
_atom_site_fract_z
Tb1 Tb 0.000 0.000 0.000
Dy1 Dy 0.250 0.250 0.250
Th1 Th 0.500 0.500 0.500

# TbDyTl | OQMD via LeMat-Bulk | PBE-GGA | relaxed
# DFT total energy	-11.71	eV/f.u.
# calculated density	8.942	g/cm3
# total magnetic moment	0.1	μB per formula unit
data_TbDyTl
_chemical_formula_sum 'Tb1 Dy1 Tl1'
_cell_length_a 5.169
_cell_length_b 5.169
_cell_length_c 5.169
_cell_angle_alpha 60.00
_cell_angle_beta 60.00
_cell_angle_gamma 60.00
_symmetry_space_group_name_H-M 'P 1'
_symmetry_Int_Tables_number 1
_symmetry_space_group_name_Hall 'P 1'
loop_
_atom_site_label
_atom_site_type_symbol
_atom_site_fract_x
_atom_site_fract_y
_atom_site_fract_z
Tb1 Tb 0.000 0.000 0.000
Dy1 Dy 0.500 0.500 0.500
Tl1 Tl 0.750 0.750 0.750

# TbDy2Tl3 | OQMD via LeMat-Bulk | PBE-GGA | relaxed
# DFT total energy	-22.96	eV/f.u.
# calculated density	11.212	g/cm3
# total magnetic moment	0.0	μB per formula unit
data_TbDy2Tl3
_chemical_formula_sum 'Tb1 Dy2 Tl3'
_cell_length_a 3.647
_cell_length_b 3.647
_cell_length_c 12.214
_cell_angle_alpha 90.00
_cell_angle_beta 90.00
_cell_angle_gamma 90.00
_symmetry_space_group_name_H-M 'P 1'
_symmetry_Int_Tables_number 1
_symmetry_space_group_name_Hall 'P 1'
loop_
_atom_site_label
_atom_site_type_symbol
_atom_site_fract_x
_atom_site_fract_y
_atom_site_fract_z
Tb1 Tb 0.000 0.000 0.000
Dy1 Dy 0.000 0.000 0.334
Dy2 Dy 0.000 0.000 0.666
Tl1 Tl 0.500 0.500 0.168
Tl2 Tl 0.500 0.500 0.500
Tl3 Tl 0.500 0.500 0.832

# TbDyTl4 | OQMD via LeMat-Bulk | PBE-GGA | relaxed
# DFT total energy	-20.33	eV/f.u.
# calculated density	11.805	g/cm3
# total magnetic moment	0.0	μB per formula unit
data_TbDyTl4
_chemical_formula_sum 'Tb1 Dy1 Tl4'
_cell_length_a 4.676
_cell_length_b 7.668
_cell_length_c 7.668
_cell_angle_alpha 35.64
_cell_angle_beta 90.00
_cell_angle_gamma 90.00
_symmetry_space_group_name_H-M 'P 1'
_symmetry_Int_Tables_number 1
_symmetry_space_group_name_Hall 'P 1'
loop_
_atom_site_label
_atom_site_type_symbol
_atom_site_fract_x
_atom_site_fract_y
_atom_site_fract_z
Tb1 Tb 0.000 0.000 0.000
Dy1 Dy 0.000 0.310 0.310
Tl1 Tl 0.000 0.655 0.655
Tl2 Tl 0.500 0.155 0.155
Tl3 Tl 0.500 0.479 0.479
Tl4 Tl 0.500 0.831 0.831

# TbDyTm | OQMD via LeMat-Bulk | PBE-GGA | relaxed
# DFT total energy	-11.56	eV/f.u.
# calculated density	7.409	g/cm3
# total magnetic moment	0.0	μB per formula unit
data_TbDyTm
_chemical_formula_sum 'Tb1 Dy1 Tm1'
_cell_length_a 5.377
_cell_length_b 5.377
_cell_length_c 5.377
_cell_angle_alpha 60.00
_cell_angle_beta 60.00
_cell_angle_gamma 60.00
_symmetry_space_group_name_H-M 'P 1'
_symmetry_Int_Tables_number 1
_symmetry_space_group_name_Hall 'P 1'
loop_
_atom_site_label
_atom_site_type_symbol
_atom_site_fract_x
_atom_site_fract_y
_atom_site_fract_z
Tb1 Tb 0.000 0.000 0.000
Dy1 Dy 0.500 0.500 0.500
Tm1 Tm 0.750 0.750 0.750

# TbDy2W2 | OQMD via LeMat-Bulk | PBE-GGA | relaxed
# DFT total energy	-33.64	eV/f.u.
# calculated density	10.750	g/cm3
# total magnetic moment	1.3	μB per formula unit
data_TbDy2W2
_chemical_formula_sum 'Tb1 Dy2 W2'
_cell_length_a 6.163
_cell_length_b 6.163
_cell_length_c 6.163
_cell_angle_alpha 130.70
_cell_angle_beta 130.70
_cell_angle_gamma 72.29
_symmetry_space_group_name_H-M 'P 1'
_symmetry_Int_Tables_number 1
_symmetry_space_group_name_Hall 'P 1'
loop_
_atom_site_label
_atom_site_type_symbol
_atom_site_fract_x
_atom_site_fract_y
_atom_site_fract_z
Tb1 Tb 0.000 0.000 0.000
Dy1 Dy 0.327 0.327 0.000
Dy2 Dy 0.673 0.673 0.000
W1 W 0.000 0.500 0.500
W2 W 0.500 0.000 0.500

# TbDyW | OQMD via LeMat-Bulk | PBE-GGA | relaxed
# DFT total energy	-17.89	eV/f.u.
# calculated density	10.140	g/cm3
# total magnetic moment	1.6	μB per formula unit
data_TbDyW
_chemical_formula_sum 'Tb1 Dy1 W1'
_cell_length_a 4.891
_cell_length_b 4.891
_cell_length_c 4.891
_cell_angle_alpha 60.00
_cell_angle_beta 60.00
_cell_angle_gamma 60.00
_symmetry_space_group_name_H-M 'P 1'
_symmetry_Int_Tables_number 1
_symmetry_space_group_name_Hall 'P 1'
loop_
_atom_site_label
_atom_site_type_symbol
_atom_site_fract_x
_atom_site_fract_y
_atom_site_fract_z
Tb1 Tb 0.000 0.000 0.000
Dy1 Dy 0.250 0.250 0.250
W1 W 0.500 0.500 0.500

# TbDyY | OQMD via LeMat-Bulk | PBE-GGA | relaxed
# DFT total energy	-13.43	eV/f.u.
# calculated density	5.982	g/cm3
# total magnetic moment	0.1	μB per formula unit
data_TbDyY
_chemical_formula_sum 'Tb1 Dy1 Y1'
_cell_length_a 5.441
_cell_length_b 5.441
_cell_length_c 5.441
_cell_angle_alpha 60.00
_cell_angle_beta 60.00
_cell_angle_gamma 60.00
_symmetry_space_group_name_H-M 'P 1'
_symmetry_Int_Tables_number 1
_symmetry_space_group_name_Hall 'P 1'
loop_
_atom_site_label
_atom_site_type_symbol
_atom_site_fract_x
_atom_site_fract_y
_atom_site_fract_z
Tb1 Tb 0.000 0.000 0.000
Dy1 Dy 0.500 0.500 0.500
Y1 Y 0.750 0.750 0.750

The highest DFT total energy belongs to which entry? TbDyTm

Repeat the second record exactly.
# TbDyTl | OQMD via LeMat-Bulk | PBE-GGA | relaxed
# DFT total energy	-11.71	eV/f.u.
# calculated density	8.942	g/cm3
# total magnetic moment	0.1	μB per formula unit
data_TbDyTl
_chemical_formula_sum 'Tb1 Dy1 Tl1'
_cell_length_a 5.169
_cell_length_b 5.169
_cell_length_c 5.169
_cell_angle_alpha 60.00
_cell_angle_beta 60.00
_cell_angle_gamma 60.00
_symmetry_space_group_name_H-M 'P 1'
_symmetry_Int_Tables_number 1
_symmetry_space_group_name_Hall 'P 1'
loop_
_atom_site_label
_atom_site_type_symbol
_atom_site_fract_x
_atom_site_fract_y
_atom_site_fract_z
Tb1 Tb 0.000 0.000 0.000
Dy1 Dy 0.500 0.500 0.500
Tl1 Tl 0.750 0.750 0.750

The lowest DFT total energy belongs to which entry? TbDy2W2

Among the records above, which one has the highest total magnetic moment? TbDyW